Entry 1:
VASP calculation (PBE) on a relaxed structure of VTcTe2.

offset from the most stable computed form	0.00	eV/f.u.

abc: 6.601 6.601 6.601
angles: 90.00 90.00 90.00
Space group Fm-3m (No. 225)
Inequivalent atoms, fractional coordinates:
1 V 0.000 0.000 0.000 x4
2 Tc 0.000 0.000 0.500 x4
3 Te 0.250 0.250 0.250 x8

=====

Entry 2:
VASP calculation (PBE) on a relaxed structure of YVTc2Te.

total DFT energy (no corrections)	-6.895	eV per atom

abc: 4.880 4.880 4.755
angles: 90.00 90.00 90.00
Space group P4/mmm (No. 123)
Inequivalent atoms, fractional coordinates:
1 Y 0.000 0.000 0.000 x1
2 V 0.500 0.500 0.000 x1
3 Tc 0.000 0.500 0.500 x2
4 Te 0.500 0.500 0.500 x1

=====

Entry 3:
VASP calculation (PBE) on a relaxed structure of Tc2TeW.

offset from the most stable computed form	1.02	eV/f.u.

abc: 6.414 6.414 6.414
angles: 90.00 90.00 90.00
Space group Fm-3m (No. 225)
Inequivalent atoms, fractional coordinates:
1 Tc 0.250 0.250 0.250 x8
2 Te 0.000 0.000 0.000 x4
3 W 0.000 0.000 0.500 x4

=====

Entry 4:
VASP calculation (PBE) on a relaxed structure of TcTeW2.

offset from the most stable computed form	0.98	eV/f.u.

abc: 2.9746 2.9746 27.0592
angles: 90.00 90.00 120.00
Space group R-3m (No. 166, hexagonal axes)
Inequivalent atoms, fractional coordinates:
1 Tc 0.0000 0.0000 0.0000 x3
2 Te 0.0000 0.0000 0.5000 x3
3 W 0.0000 0.0000 0.2543 x6

=====

Number 1: calculated volume 288 Å³/cell. Number 2: calculated volume 113 Å³/cell. Number 3: calculated volume 264 Å³/cell. Number 4: calculated volume 207 Å³/cell.